# 1
# HfVAs | the Alexandria database | GGA-PBE | optimized geometry
data_HfVAs
_chemical_formula_sum 'Hf2 V2 As2'
_space_group_name_H-M_alt 'I 4 m m'
_space_group_IT_number 107
_space_group_name_Hall 'I 4 -2'
_cell_length_a 3.339
_cell_length_b 3.339
_cell_length_c 9.037
_cell_angle_alpha 90.00
_cell_angle_beta 90.00
_cell_angle_gamma 90.00
loop_
_atom_site_label
_atom_site_fract_x
_atom_site_fract_y
_atom_site_fract_z
Hf1 0.000 0.000 0.000
V1 0.000 0.000 0.686
As1 0.000 0.000 0.314
# Formation energy from the elements ... -374 meV per atom
# E ... -8.28 eV/atom
# DOS(E_F) ... 4.82 states/eV per cell


# 2
# Y2Ho3Er3 | the Alexandria database | GGA-PBE | optimized geometry
data_Y2Ho3Er3
_chemical_formula_sum 'Y4 Ho6 Er6'
_space_group_name_H-M_alt 'I m m m'
_space_group_IT_number 71
_space_group_name_Hall '-I 2 2'
_cell_length_a 4.990
_cell_length_b 4.990
_cell_length_c 19.975
_cell_angle_alpha 90.00
_cell_angle_beta 90.00
_cell_angle_gamma 90.00
loop_
_atom_site_label
_atom_site_fract_x
_atom_site_fract_y
_atom_site_fract_z
Y1 0.000 0.000 0.250
Ho1 0.000 0.000 0.000
Ho2 0.000 0.500 0.124
Er1 0.000 0.000 0.500
Er2 0.000 0.500 0.376
# Formation energy from the elements ... 24 meV per atom
# E ... -5.02 eV/atom
# DOS(E_F) ... 22.49 states/eV per cell


# 3
# ZnCo2Re | the Alexandria database | GGA-PBE | optimized geometry
data_ZnCo2Re
_chemical_formula_sum 'Zn1 Co2 Re1'
_space_group_name_H-M_alt 'P 4/m m m'
_space_group_IT_number 123
_space_group_name_Hall '-P 4 2'
_cell_length_a 2.674
_cell_length_b 2.674
_cell_length_c 6.863
_cell_angle_alpha 90.00
_cell_angle_beta 90.00
_cell_angle_gamma 90.00
loop_
_atom_site_label
_atom_site_fract_x
_atom_site_fract_y
_atom_site_fract_z
Zn1 0.000 0.000 0.000
Co1 0.500 0.500 0.249
Re1 0.000 0.000 0.500
# Formation energy from the elements ... -51 meV per atom
# E ... -7.03 eV/atom
# DOS(E_F) ... 3.29 states/eV per cell


# 4
# CrReW2 | the Alexandria database | GGA-PBE | optimized geometry
data_CrReW2
_chemical_formula_sum 'Cr2 Re2 W4'
_space_group_name_H-M_alt 'I -4 m 2'
_space_group_IT_number 119
_space_group_name_Hall 'I -4 -2'
_cell_length_a 3.768
_cell_length_b 3.768
_cell_length_c 8.545
_cell_angle_alpha 90.00
_cell_angle_beta 90.00
_cell_angle_gamma 90.00
loop_
_atom_site_label
_atom_site_fract_x
_atom_site_fract_y
_atom_site_fract_z
Cr1 0.000 0.000 0.000
Re1 0.000 0.500 0.750
W1 0.000 0.000 0.500
W2 0.000 0.500 0.250
# Formation energy from the elements ... 330 meV per atom
# E ... -11.66 eV/atom
# DOS(E_F) ... 9.62 states/eV per cell


# 5
# Pm2SiGe4Pd3 | the Alexandria database | GGA-PBE | optimized geometry
data_Pm2SiGe4Pd3
_chemical_formula_sum 'Pm2 Si1 Ge4 Pd3'
_space_group_name_H-M_alt 'P -4 m 2'
_space_group_IT_number 115
_space_group_name_Hall 'P -4 -2'
_cell_length_a 4.291
_cell_length_b 4.291
_cell_length_c 10.427
_cell_angle_alpha 90.00
_cell_angle_beta 90.00
_cell_angle_gamma 90.00
loop_
_atom_site_label
_atom_site_fract_x
_atom_site_fract_y
_atom_site_fract_z
Pm1 0.000 0.500 0.250
Si1 0.000 0.000 0.500
Ge1 0.000 0.000 0.000
Ge2 0.000 0.500 0.636
Ge3 0.500 0.500 0.000
Pd1 0.000 0.500 0.869
Pd2 0.500 0.500 0.500
# E ... -5.58 eV/atom
# DOS(E_F) ... 2.34 states/eV per cell


# 6
# AgIr2Au | the Alexandria database | GGA-PBE | optimized geometry
data_AgIr2Au
_chemical_formula_sum 'Ag4 Ir8 Au4'
_space_group_name_H-M_alt 'F m -3 m'
_space_group_IT_number 225
_space_group_name_Hall '-F 4 2 3'
_cell_length_a 6.367
_cell_length_b 6.367
_cell_length_c 6.367
_cell_angle_alpha 90.00
_cell_angle_beta 90.00
_cell_angle_gamma 90.00
loop_
_atom_site_label
_atom_site_fract_x
_atom_site_fract_y
_atom_site_fract_z
Ag1 0.000 0.000 0.000
Ir1 0.250 0.250 0.250
Au1 0.000 0.000 0.500
# Formation energy from the elements ... 708 meV per atom
# E ... -5.25 eV/atom
# DOS(E_F) ... 23.01 states/eV per cell